# 1
Material: ZnHgS2
Method: DFT, PBE-GGA
State: optimized geometry

Output
Calculated density = 5890 kg/m3
Size of the total moment = 0.000 Bohr magnetons per cell
Formation energy without anion corrections = -459 meV per atom
Calculated total energy = -2.9166 eV per atom

Cell: 6.959 8.088 6.615 Å, 90.00 90.00 90.00°
Sites, in units of the cell vectors:
Zn 0.078 0.126 0.000
Zn 0.422 0.626 0.500
Zn 0.578 0.374 0.000
Zn 0.922 0.874 0.500
Hg 0.088 0.624 0.998
Hg 0.412 0.124 0.498
Hg 0.588 0.876 0.998
Hg 0.912 0.376 0.498
S 0.066 0.110 0.643
S 0.098 0.640 0.607
S 0.402 0.140 0.107
S 0.434 0.610 0.143
S 0.566 0.390 0.643
S 0.598 0.860 0.607
S 0.902 0.360 0.107
S 0.934 0.890 0.143

# 2
Material: Ca2NbBr
Method: DFT, PBE-GGA
State: optimized geometry

Output
Calculated density = 3469 kg/m3
Size of the total moment = 4.817 Bohr magnetons per cell
Energy relative to the lowest polymorph listed for this composition = 0.233 eV per formula unit
Formation energy without anion corrections = 387 meV per atom
Calculated total energy = -3.5496 eV per atom

Cell: 5.553 5.553 5.553 Å, 60.00 60.00 60.00°
Sites, in units of the cell vectors:
Ca 0.250 0.250 0.250
Ca 0.750 0.750 0.750
Nb 0.000 0.000 0.000
Br 0.500 0.500 0.500